# 1
{
  "formula": "HoHg3",
  "functional": "PBEsol",
  "state": "optimized geometry",
  "cell": [[-1.527, 2.184, 4.070], [-2.183, -5.694, 2.236], [6.086, 1.873, 1.279]],
  "species": ["Hg", "Hg", "Hg", "Hg", "Hg", "Hg", "Ho", "Ho"],
  "fractional_positions": [[0.250, 0.332, 0.166], [0.250, 0.834, 0.166], [0.250, 0.834, 0.668], [0.750, 0.668, 0.834], [0.750, 0.166, 0.834], [0.750, 0.166, 0.332], [0.750, 0.667, 0.333], [0.250, 0.333, 0.667]],
  "formation_enthalpy_0k_ev_per_atom": -0.452,
  "total_energy_ev_per_atom": -2.11
}

***

# 2
{
  "formula": "Na2Si2Pd",
  "functional": "PBEsol",
  "state": "optimized geometry",
  "cell": [[4.911, 0.000, 0.000], [0.000, 6.211, 0.000], [0.000, 0.000, 6.211]],
  "species": ["Na", "Na", "Na", "Na", "Si", "Si", "Si", "Si", "Pd", "Pd"],
  "fractional_positions": [[0.500, 0.180, 0.680], [0.500, 0.680, 0.820], [0.500, 0.820, 0.320], [0.500, 0.320, 0.180], [0.000, 0.368, 0.868], [0.000, 0.868, 0.632], [0.000, 0.632, 0.132], [0.000, 0.132, 0.368], [0.000, 0.000, 0.000], [0.000, 0.500, 0.500]],
  "total_energy_ev_per_atom": -4.27,
  "formation_energy_uncorrected_ev_per_atom": -0.219
}

***

# 3
{
  "formula": "ReHgO4",
  "functional": "PBEsol",
  "state": "optimized geometry",
  "cell": [[-1.463, -4.761, 1.461], [-0.139, -1.632, -5.456], [13.576, -4.117, 0.176]],
  "species": ["Re", "Re", "Re", "Re", "Hg", "Hg", "Hg", "Hg", "O", "O", "O", "O", "O", "O", "O", "O", "O", "O", "O", "O", "O", "O", "O", "O"],
  "fractional_positions": [[0.368, 0.492, 0.655], [0.632, 0.508, 0.345], [0.868, 0.008, 0.845], [0.132, 0.992, 0.155], [0.668, 0.556, 0.061], [0.832, 0.056, 0.561], [0.168, 0.944, 0.439], [0.332, 0.444, 0.939], [0.513, 0.216, 0.638], [0.487, 0.784, 0.362], [0.923, 0.929, 0.730], [0.013, 0.284, 0.862], [0.490, 0.709, 0.576], [0.460, 0.963, 0.134], [0.010, 0.209, 0.076], [0.423, 0.571, 0.770], [0.987, 0.716, 0.138], [0.040, 0.463, 0.634], [0.540, 0.037, 0.866], [0.077, 0.071, 0.270], [0.960, 0.537, 0.366], [0.577, 0.429, 0.230], [0.990, 0.791, 0.924], [0.510, 0.291, 0.424]],
  "total_energy_ev_per_atom": -7.02,
  "formation_energy_uncorrected_ev_per_atom": -1.208
}

***

# 4
{
  "formula": "ScMo2H",
  "functional": "PBEsol",
  "state": "optimized geometry",
  "cell": [[4.285, 0.000, 0.000], [2.143, 3.711, 0.000], [2.143, 1.237, 3.499]],
  "species": ["Sc", "H", "Mo", "Mo"],
  "fractional_positions": [[0.500, 0.500, 0.500], [0.000, 0.000, 0.000], [0.250, 0.250, 0.250], [0.750, 0.750, 0.750]],
  "total_energy_ev_per_atom": -7.11
}

***

# 5
{
  "formula": "Cs3Zr2I9",
  "functional": "PBEsol",
  "state": "optimized geometry",
  "cell": [[-1.848, 7.892, 1.359], [-5.862, -5.240, -2.390], [-3.997, -4.214, 19.040]],
  "species": ["Cs", "Cs", "Cs", "Cs", "Cs", "Cs", "Zr", "Zr", "Zr", "Zr", "I", "I", "I", "I", "I", "I", "I", "I", "I", "I", "I", "I", "I", "I", "I", "I", "I", "I"],
  "fractional_positions": [[0.333, 0.667, 0.433], [0.667, 0.333, 0.933], [0.667, 0.333, 0.567], [0.333, 0.667, 0.067], [0.000, 0.000, 0.250], [0.000, 0.000, 0.750], [0.667, 0.333, 0.329], [0.333, 0.667, 0.829], [0.333, 0.667, 0.671], [0.667, 0.333, 0.171], [0.335, 0.167, 0.411], [0.167, 0.833, 0.911], [0.167, 0.335, 0.911], [0.833, 0.665, 0.411], [0.833, 0.167, 0.411], [0.665, 0.833, 0.589], [0.167, 0.833, 0.589], [0.665, 0.833, 0.911], [0.167, 0.335, 0.589], [0.833, 0.665, 0.089], [0.335, 0.167, 0.089], [0.833, 0.167, 0.089], [0.011, 0.505, 0.250], [0.505, 0.495, 0.750], [0.505, 0.011, 0.750], [0.495, 0.989, 0.250], [0.495, 0.505, 0.250], [0.989, 0.495, 0.750]],
  "total_energy_ev_per_atom": -3.85,
  "formation_energy_uncorrected_ev_per_atom": -1.217
}

***

# 6
{
  "formula": "YTl3Ru",
  "functional": "PBEsol",
  "state": "optimized geometry",
  "cell": [[-5.605, -0.286, 0.322], [0.161, -5.291, -1.894], [0.400, -1.879, 5.284]],
  "species": ["Y", "Ru", "Tl", "Tl", "Tl"],
  "fractional_positions": [[0.000, 0.000, 0.000], [0.500, 0.500, 0.500], [0.000, 0.500, 0.000], [0.000, 0.000, 0.500], [0.500, 0.000, 0.000]],
  "formation_enthalpy_0k_ev_per_atom": 1.608,
  "total_energy_ev_per_atom": -3.37
}

***

# 7
{
  "formula": "BeZnCr3",
  "functional": "PBEsol",
  "state": "optimized geometry",
  "cell": [[-2.592, 2.792, -2.548], [-3.595, -2.775, 0.616], [-1.168, 2.347, 3.760]],
  "species": ["Cr", "Cr", "Cr", "Zn", "Be"],
  "fractional_positions": [[0.000, 0.500, 0.000], [0.000, 0.000, 0.500], [0.500, 0.000, 0.000], [0.000, 0.000, 0.000], [0.500, 0.500, 0.500]],
  "formation_enthalpy_0k_ev_per_atom": 1.830,
  "total_energy_ev_per_atom": -5.43
}

***

# 8
{
  "formula": "B13C2",
  "functional": "PBEsol",
  "state": "optimized geometry",
  "cell": [[-5.069, -0.330, -0.983], [-1.278, -3.872, -3.185], [-2.345, -3.970, 2.348]],
  "species": ["C", "C", "B", "B", "B", "B", "B", "B", "B", "B", "B", "B", "B", "B", "B"],
  "fractional_positions": [[0.620, 0.620, 0.620], [0.380, 0.380, 0.380], [0.500, 0.500, 0.500], [0.318, 0.804, 0.804], [0.804, 0.804, 0.318], [0.804, 0.318, 0.804], [0.196, 0.682, 0.196], [0.682, 0.196, 0.196], [0.196, 0.196, 0.682], [0.324, 0.008, 0.008], [0.008, 0.008, 0.324], [0.008, 0.324, 0.008], [0.992, 0.676, 0.992], [0.676, 0.992, 0.992], [0.992, 0.992, 0.676]],
  "formation_enthalpy_0k_ev_per_atom": -0.085,
  "total_energy_ev_per_atom": -7.45
}

***

# 9
{
  "formula": "AsSNF2",
  "functional": "PBEsol",
  "state": "optimized geometry",
  "cell": [[3.216, 0.000, 0.000], [0.000, 4.565, 0.000], [0.000, 0.000, 4.565]],
  "species": ["As", "N", "S", "F", "F"],
  "fractional_positions": [[0.500, 0.500, 0.500], [0.500, 0.000, 0.000], [0.000, 0.000, 0.000], [0.000, 0.000, 0.500], [0.000, 0.500, 0.000]],
  "total_energy_ev_per_atom": -4.07,
  "formation_energy_uncorrected_ev_per_atom": 0.305
}

***

# 10
{
  "formula": "ScAl2Tc",
  "functional": "PBEsol",
  "state": "optimized geometry",
  "cell": [[-1.557, -0.621, -2.201], [-3.039, -1.053, 2.447], [-1.953, 5.344, -0.125]],
  "species": ["Sc", "Tc", "Al", "Al"],
  "fractional_positions": [[0.500, 0.500, 0.000], [0.500, 0.500, 0.500], [0.000, 0.000, 0.724], [0.000, 0.000, 0.276]],
  "formation_enthalpy_0k_ev_per_atom": -0.302,
  "total_energy_ev_per_atom": -6.82,
  "relative_energy_mev_per_atom": 85
}

***

# 11
{
  "formula": "Zn2TcMo",
  "functional": "PBEsol",
  "state": "optimized geometry",
  "cell": [[-2.321, -1.041, 0.737], [1.952, -0.980, 1.498], [-1.108, 6.492, 5.687]],
  "species": ["Mo", "Tc", "Zn", "Zn"],
  "fractional_positions": [[0.000, 0.000, 0.496], [0.500, 0.500, 0.250], [0.000, 0.000, 0.000], [0.500, 0.500, 0.753]],
  "formation_enthalpy_0k_ev_per_atom": 0.107,
  "total_energy_ev_per_atom": -6.44,
  "relative_energy_mev_per_atom": 68
}

***

# 12
{
  "formula": "YMgSc4",
  "functional": "PBEsol",
  "state": "optimized geometry",
  "cell": [[6.014, 0.000, 0.000], [3.007, 5.209, 0.000], [3.007, 1.736, 4.911]],
  "species": ["Mg", "Sc", "Sc", "Sc", "Sc", "Y"],
  "fractional_positions": [[0.000, 0.000, 0.000], [0.376, 0.376, 0.376], [0.376, 0.376, 0.873], [0.873, 0.376, 0.376], [0.376, 0.873, 0.376], [0.750, 0.750, 0.750]],
  "formation_enthalpy_0k_ev_per_atom": 0.183,
  "total_energy_ev_per_atom": -5.64
}